Here is crystalline Zr2TaRu3 at its relaxed geometry from Alexandria via LeMat-Bulk. Energies are from PBE-GGA.

Formation enthalpy at 0 K ... -0.534 eV/atom

Structure (POSCAR):
```
Zr2TaRu3
1.0
2.3048 -6.8968 0.0000
2.3048 6.8968 0.0000
0.0000 0.0000 3.2134
Zr Ta Ru
2 1 3
direct
0.1656 0.8344 0.0000
0.8344 0.1656 0.0000
0.5000 0.5000 0.0000
0.0000 0.0000 0.5000
0.3401 0.6599 0.5000
0.6599 0.3401 0.5000
```